No. 1
Na4Pm3InSe8: relaxed, GGA-PBE.

* energy relative to the elements, uncorrected: -1446 meV per atom
* Fermi-level density of states: 0.00 states/eV/atom
* total magnetization: 0.0 μB/cell

a b c (Å): 8.5578 8.5578 8.5578
angles (deg): 58.79 58.79 58.79
Sites, in units of the cell vectors:
Na 0.0000 0.0000 0.0000
Na 0.0000 0.5000 0.5000
Na 0.5000 0.0000 0.5000
Na 0.5000 0.5000 0.0000
Pm 0.0000 0.0000 0.5000
Pm 0.0000 0.5000 0.0000
Pm 0.5000 0.0000 0.0000
In 0.5000 0.5000 0.5000
Se 0.2449 0.2449 0.2449
Se 0.2549 0.7387 0.7387
Se 0.2613 0.2613 0.7451
Se 0.2613 0.7451 0.2613
Se 0.7387 0.2549 0.7387
Se 0.7387 0.7387 0.2549
Se 0.7451 0.2613 0.2613
Se 0.7551 0.7551 0.7551

***

No. 2
PrHo2HgC: relaxed, GGA-PBE.

* ΔE_f: -0.35 eV/atom
* Fermi-level density of states: 0.72 states/eV/atom
* total magnetization: 0.0 μB/cell

a b c (Å): 7.1085 7.1085 7.1085
angles (deg): 122.52 122.52 85.69
Sites, in units of the cell vectors:
Pr 0.2500 0.2500 0.0000
Pr 0.7500 0.7500 0.0000
Ho 0.1934 0.6934 0.8868
Ho 0.3066 0.1934 0.5000
Ho 0.6934 0.8066 0.5000
Ho 0.8066 0.3066 0.1132
Hg 0.2500 0.7500 0.5000
Hg 0.7500 0.2500 0.5000
C 0.0000 0.0000 0.0000
C 0.5000 0.5000 0.0000

***

No. 3
YHgIr2: relaxed, GGA-PBE.

* ΔE_f: 0.04 eV/atom
* Fermi-level density of states: 1.16 states/eV/atom
* total magnetization: 0.0 μB/cell

a b c (Å): 3.0229 3.0229 8.2581
angles (deg): 90.00 90.00 90.00
Sites, in units of the cell vectors:
Y 0.0000 0.0000 0.0000
Hg 0.5000 0.5000 0.2948
Ir 0.0000 0.0000 0.5477
Ir 0.5000 0.5000 0.7470

***

No. 4
CaCeTlHg: relaxed, GGA-PBE.

* ΔE_f: -0.40 eV/atom
* Fermi-level density of states: 2.17 states/eV/atom
* total magnetization: 1.0 μB/cell

a b c (Å): 5.4574 5.4574 5.4574
angles (deg): 60.00 60.00 60.00
Sites, in units of the cell vectors:
Ca 0.0000 0.0000 0.0000
Ce 0.5000 0.5000 0.5000
Tl 0.7500 0.7500 0.7500
Hg 0.2500 0.2500 0.2500

***

No. 5
VSbTe2Ir: relaxed, GGA-PBE.

* energy relative to the elements, uncorrected: 1021 meV per atom
* Fermi-level density of states: 1.42 states/eV/atom
* total magnetization: 0.0 μB/cell

a b c (Å): 5.3892 5.3892 4.9133
angles (deg): 90.00 90.00 90.00
Sites, in units of the cell vectors:
V 0.0000 0.0000 0.0000
Sb 0.5000 0.5000 0.0000
Te 0.0000 0.5000 0.5000
Te 0.5000 0.0000 0.5000
Ir 0.5000 0.5000 0.5000

***

No. 6
NaClF2: relaxed, GGA-PBE.

* energy relative to the elements, uncorrected: -1621 meV per atom
* Fermi-level density of states: 0.00 states/eV/atom
* total magnetization: 0.0 μB/cell

a b c (Å): 3.7609 3.7609 11.5790
angles (deg): 90.00 90.00 120.00
Sites, in units of the cell vectors:
Na 0.0000 0.0000 0.0000
Na 0.0000 0.0000 0.5000
Cl 0.3333 0.6667 0.2500
Cl 0.6667 0.3333 0.7500
F 0.3333 0.6667 0.0859
F 0.3333 0.6667 0.4141
F 0.6667 0.3333 0.5859
F 0.6667 0.3333 0.9141